1.
# CePmTh2 (PBE-GGA, optimized geometry)
# electronic total energy = -73.79 eV per cell
# formation enthalpy at 0 K = 232.2 meV/atom
# N(E_F) = 24.77 states/eV/cell
# total moment = 0.00 μB/f.u.
data_CePmTh2
_chemical_formula_sum 'Ce3 Pm3 Th6'
_space_group_name_H-M_alt 'R -3 m'
_space_group_IT_number 166
_space_group_name_Hall '-R 3 2"'
_cell_length_a 3.4801
_cell_length_b 3.4801
_cell_length_c 36.9926
_cell_angle_alpha 90.00
_cell_angle_beta 90.00
_cell_angle_gamma 120.00
loop_
_atom_site_label
_atom_site_fract_x
_atom_site_fract_y
_atom_site_fract_z
Ce1 0.0000 0.0000 0.0000
Pm1 0.0000 0.0000 0.5000
Th1 0.0000 0.0000 0.4112

---

2.
# Li3TlAg6 (PBE-GGA, optimized geometry)
# electronic total energy = -102.31 eV per cell
# formation enthalpy at 0 K = -36.3 meV/atom
# N(E_F) = 8.56 states/eV/cell
# total moment = 0.00 μB/f.u.
data_Li3TlAg6
_chemical_formula_sum 'Li12 Tl4 Ag24'
_space_group_name_H-M_alt 'C m c 21'
_space_group_IT_number 36
_cell_length_a 9.9950
_cell_length_b 13.4279
_cell_length_c 5.5394
_cell_angle_alpha 90.00
_cell_angle_beta 90.00
_cell_angle_gamma 90.00
loop_
_space_group_symop_operation_xyz
'x,y,z'
'-x,-y,z+1/2'
'-x,y,z'
'x,-y,z+1/2'
'x+1/2,y+1/2,z'
'-x+1/2,-y+1/2,z+1/2'
'-x+1/2,y+1/2,z'
'x+1/2,-y+1/2,z+1/2'
loop_
_atom_site_label
_atom_site_fract_x
_atom_site_fract_y
_atom_site_fract_z
Li1 0.0000 0.1185 0.0000
Li2 0.1922 0.4087 0.6372
Tl1 0.0000 0.3233 0.9627
Ag1 0.0000 0.2453 0.4766
Ag2 0.0000 0.4656 0.3357
Ag3 0.1403 0.0535 0.5041
Ag4 0.2504 0.2163 0.7524

---

3.
# MgI2Br (PBE-GGA, optimized geometry)
# electronic total energy = -27.87 eV per cell
# formation energy (no corrections) = -0.15 eV/atom
# N(E_F) = 26.80 states/eV/cell
# total moment = 0.00 μB/f.u.
data_MgI2Br
_chemical_formula_sum 'Mg4 I8 Br4'
_space_group_name_H-M_alt 'F m -3 m'
_space_group_IT_number 225
_space_group_name_Hall '-F 4 2 3'
_cell_length_a 7.8083
_cell_length_b 7.8083
_cell_length_c 7.8083
_cell_angle_alpha 90.00
_cell_angle_beta 90.00
_cell_angle_gamma 90.00
loop_
_atom_site_label
_atom_site_fract_x
_atom_site_fract_y
_atom_site_fract_z
Mg1 0.0000 0.0000 0.0000
I1 0.2500 0.2500 0.2500
Br1 0.0000 0.0000 0.5000

---

4.
# MnAs (PBE-GGA, optimized geometry)
# electronic total energy = -107.69 eV per cell
# formation enthalpy at 0 K = 179.2 meV/atom
# N(E_F) = 8.55 states/eV/cell
# total moment = 2.84 μB/f.u.
data_MnAs
_chemical_formula_sum 'Mn8 As8'
_space_group_name_H-M_alt 'I 4/m'
_space_group_IT_number 87
_space_group_name_Hall '-I 4'
_cell_length_a 10.9805
_cell_length_b 10.9805
_cell_length_c 2.8095
_cell_angle_alpha 90.00
_cell_angle_beta 90.00
_cell_angle_gamma 90.00
loop_
_atom_site_label
_atom_site_fract_x
_atom_site_fract_y
_atom_site_fract_z
Mn1 0.1487 0.7354 0.0000
As1 0.0730 0.2569 0.0000

---

5.
# Tm4Cu2Pt (PBE-GGA, optimized geometry)
# electronic total energy = -71.24 eV per cell
# formation enthalpy at 0 K = -500.0 meV/atom
# N(E_F) = 10.34 states/eV/cell
# total moment = 0.00 μB/f.u.
data_Tm4Cu2Pt
_chemical_formula_sum 'Tm8 Cu4 Pt2'
_space_group_name_H-M_alt 'P 1'
_space_group_IT_number 1
_cell_length_a 6.8609
_cell_length_b 7.4213
_cell_length_c 7.4993
_cell_angle_alpha 106.23
_cell_angle_beta 106.72
_cell_angle_gamma 106.88
loop_
_space_group_symop_operation_xyz
'x,y,z'
loop_
_atom_site_label
_atom_site_fract_x
_atom_site_fract_y
_atom_site_fract_z
Tm1 0.0000 0.0000 0.0000
Tm2 0.0021 0.0745 0.5718
Tm3 0.1457 0.4794 0.3500
Tm4 0.4261 0.9945 0.3989
Tm5 0.5040 0.7113 0.9777
Tm6 0.5290 0.1630 0.9006
Tm7 0.6602 0.5088 0.3718
Tm8 0.9331 0.5092 0.8389
Cu1 0.1557 0.7817 0.6712
Cu2 0.4562 0.3890 0.6341
Cu3 0.5804 0.7956 0.6519
Cu4 0.9517 0.7397 0.2266
Pt1 0.2537 0.3651 0.0072
Pt2 0.7562 0.1407 0.2560

---

6.
# Li4Cd7Rh (PBE-GGA, optimized geometry)
# electronic total energy = -45.26 eV per cell
# formation enthalpy at 0 K = -101.6 meV/atom
# N(E_F) = 9.29 states/eV/cell
# total moment = 0.00 μB/f.u.
data_Li4Cd7Rh
_chemical_formula_sum 'Li8 Cd14 Rh2'
_space_group_name_H-M_alt 'C 1 2/m 1'
_space_group_IT_number 12
_cell_length_a 13.7221
_cell_length_b 5.1201
_cell_length_c 7.7469
_cell_angle_alpha 90.00
_cell_angle_beta 118.67
_cell_angle_gamma 90.00
loop_
_space_group_symop_operation_xyz
'x,y,z'
'-x,-y,-z'
'-x,y,-z'
'x,-y,z'
'x+1/2,y+1/2,z'
'-x+1/2,-y+1/2,-z'
'-x+1/2,y+1/2,-z'
'x+1/2,-y+1/2,z'
loop_
_atom_site_label
_atom_site_fract_x
_atom_site_fract_y
_atom_site_fract_z
Li1 0.0534 0.0000 0.2061
Li2 0.1817 0.0000 0.8453
Cd1 0.0000 0.0000 0.5000
Cd2 0.0821 0.5000 0.9174
Cd3 0.1645 0.5000 0.3482
Cd4 0.2351 0.5000 0.7547
Rh1 0.0000 0.5000 0.5000

---

7.
# TlIn2Cu (PBE-GGA, optimized geometry)
# electronic total energy = -22.95 eV per cell
# formation enthalpy at 0 K = 116.1 meV/atom
# N(E_F) = 2.53 states/eV/cell
# total moment = 0.00 μB/f.u.
data_TlIn2Cu
_chemical_formula_sum 'Tl2 In4 Cu2'
_space_group_name_H-M_alt 'C 1 m 1'
_space_group_IT_number 8
_cell_length_a 9.6377
_cell_length_b 3.6254
_cell_length_c 6.2702
_cell_angle_alpha 90.00
_cell_angle_beta 115.32
_cell_angle_gamma 90.00
loop_
_space_group_symop_operation_xyz
'x,y,z'
'x,-y,z'
'x+1/2,y+1/2,z'
'x+1/2,-y+1/2,z'
loop_
_atom_site_label
_atom_site_fract_x
_atom_site_fract_y
_atom_site_fract_z
Tl1 0.0000 0.0000 0.0000
In1 0.1916 0.0000 0.7142
In2 0.3879 0.0000 0.3638
Cu1 0.1807 0.5000 0.3810

---

8.
# CdIr2W (PBE-GGA, optimized geometry)
# electronic total energy = -61.58 eV per cell
# formation enthalpy at 0 K = 200.7 meV/atom
# N(E_F) = 6.71 states/eV/cell
# total moment = 0.00 μB/f.u.
data_CdIr2W
_chemical_formula_sum 'Cd2 Ir4 W2'
_space_group_name_H-M_alt 'C 1 2/m 1'
_space_group_IT_number 12
_cell_length_a 9.2272
_cell_length_b 2.8056
_cell_length_c 5.0540
_cell_angle_alpha 90.00
_cell_angle_beta 99.57
_cell_angle_gamma 90.00
loop_
_space_group_symop_operation_xyz
'x,y,z'
'-x,-y,-z'
'-x,y,-z'
'x,-y,z'
'x+1/2,y+1/2,z'
'-x+1/2,-y+1/2,-z'
'-x+1/2,y+1/2,-z'
'x+1/2,-y+1/2,z'
loop_
_atom_site_label
_atom_site_fract_x
_atom_site_fract_y
_atom_site_fract_z
Cd1 0.0000 0.0000 0.0000
Ir1 0.2435 0.0000 0.7271
W1 0.0000 0.5000 0.5000

---

The highest total moment belongs to which entry? MnAs

---

Look up the electronic total energy of the sixth one. -45.26 eV per cell

---

What is the N(E_F) in the sixth record? 9.29 states/eV/cell